Record 1
Entry from Alexandria via LeMat-Bulk: crystalline Mo2AsAu at its relaxed geometry (PBE). Values from VASP.

Computed properties:
Space group ... No. 65
Energy of formation ... 0.40 eV per atom
E_tot ... -28.01 eV for the cell shown
Crystal system ... orthorhombic

Structure (Quantum ESPRESSO input):
```
&SYSTEM
  ibrav = 0, nat = 4, ntyp = 3
/
ATOMIC_SPECIES
Mo 95.94 Mo.upf
As 74.92 As.upf
Au 196.97 Au.upf
ATOMIC_POSITIONS angstrom
Mo -2.959 1.669 2.239
Mo -0.123 0.069 0.093
As -2.548 0.933 -0.213
Au -5.629 2.671 2.119
CELL_PARAMETERS angstrom
-0.208 2.137 -1.867
-1.807 -2.009 -0.891
-6.163 3.476 4.664
```

Record 2
Entry from Alexandria via LeMat-Bulk: crystalline Mo2AsAu at its relaxed geometry (PBE). Values from VASP.

Computed properties:
Space group ... No. 12
Energy of formation ... 0.22 eV per atom
E_tot ... -28.69 eV for the cell shown
Crystal system ... monoclinic

Structure (Quantum ESPRESSO input):
```
&SYSTEM
  ibrav = 0, nat = 4, ntyp = 3
/
ATOMIC_SPECIES
Au 196.97 Au.upf
Mo 95.94 Mo.upf
As 74.92 As.upf
ATOMIC_POSITIONS angstrom
Au -8.683 -3.618 -1.696
Mo -5.918 -2.501 -1.325
Mo -7.700 -3.841 -4.558
As -2.894 -1.206 -0.565
CELL_PARAMETERS angstrom
-4.473 -0.482 -2.683
-3.357 -3.448 -2.069
-3.746 -0.894 2.491
```